Entry 1:
SiPAu2, PBEsol geometry, DFT meta-GGA SCAN; DOS at the Fermi energy = 1.71 states/eV per cell; formation energy from raw total energies = 112.1 meV per atom; energy above the most stable polymorph in this dataset = 0 meV/atom; M_tot = 0.00 μB/f.u.
1.0
3.6370 0.0000 0.0000
1.8185 3.1497 0.0000
1.8185 1.0499 5.9331
Si Au P
1 2 1
Direct
0.0000 0.0000 0.0000
0.2513 0.2513 0.2460
0.7487 0.7487 0.7540
0.5000 0.5000 0.5000

Entry 2:
TeRhW2, PBEsol geometry, DFT meta-GGA SCAN; DOS at the Fermi energy = 2.39 states/eV per cell; formation energy from raw total energies = 342.5 meV per atom; M_tot = 0.00 μB/f.u.
1.0
-2.7697 0.2360 -0.8875
-1.0004 -0.9095 2.8805
0.5845 7.2700 2.4984
Rh Te W
1 1 2
Direct
0.0935 0.0000 0.4580
0.2775 0.5000 0.7497
0.5282 0.5000 0.2555
0.1008 0.0000 0.0368

Entry 3:
Sc2CuAu, PBEsol geometry, DFT meta-GGA SCAN; energy relative to the elements = -55.0 kJ/mol of atoms; energy above the most stable polymorph in this dataset = 163 meV/atom; M_tot = 0.00 μB/f.u.
1.0
4.5308 0.0000 0.0000
2.2654 3.9238 0.0000
2.2654 1.3079 3.6994
Au Cu Sc
1 1 2
Direct
0.5000 0.5000 0.5000
0.2500 0.2500 0.2500
0.0000 0.0000 0.0000
0.7500 0.7500 0.7500

Entry 4:
KHgW2, PBEsol geometry, DFT meta-GGA SCAN; energy relative to the elements = 83.2 kJ/mol of atoms; DOS at the Fermi energy = 2.46 states/eV per cell; M_tot = 0.00 μB/f.u.
1.0
-0.0709 -2.6520 -0.4877
2.6611 0.4759 -2.9749
6.1851 -1.1490 5.3487
W Hg K
2 1 1
Direct
0.0000 0.0000 0.0766
0.5000 0.5000 0.2317
0.0000 0.0000 0.4435
0.5000 0.5000 0.7482

Entry 5:
Nb3SnO, PBEsol geometry, DFT meta-GGA SCAN; DOS at the Fermi energy = 2.92 states/eV per cell; formation energy from raw total energies = -812.4 meV per atom; M_tot = 0.00 μB/f.u.
1.0
-2.7000 -1.1370 -3.1169
1.7363 -3.9086 -0.0783
-2.8272 -1.3146 2.9286
Nb Sn O
3 1 1
Direct
0.5000 0.0000 0.0000
0.0000 0.5000 0.0000
0.0000 0.0000 0.5000
0.5000 0.5000 0.5000
0.0000 0.0000 0.0000

Entry 6:
Zr4CoRh, PBEsol geometry, DFT meta-GGA SCAN; energy relative to the elements = 55.6 kJ/mol of atoms; DOS at the Fermi energy = 6.05 states/eV per cell; M_tot = 1.60 μB/f.u.
1.0
5.4229 0.0000 0.0000
2.7114 4.6963 0.0000
2.7114 1.5654 4.4278
Zr Co Rh
4 1 1
Direct
0.8764 0.3745 0.3745
0.3745 0.3745 0.8764
0.3745 0.8764 0.3745
0.3745 0.3745 0.3745
0.7500 0.7500 0.7500
0.0000 0.0000 0.0000

Q: Number 2 is which compound?
A: TeRhW2